Entry 1:
9
Lattice="8.7270 0.0000 0.0000 -4.3635 7.5578 0.0000 0.0000 0.0000 4.2035" Properties=species:S:1:pos:R:3 comment="Sm6Tl2Sb | the Alexandria database | GGA-PBE | optimized geometry" e_tot_ev_per_atom=-4.57 m_tot_mub_per_cell=1.37 e_form_raw_mev_per_atom=-437 pbc="T T T"
Sm -1.7171 2.9741 0.0000
Sm -3.1710 5.4923 2.1017
Sm 1.1925 2.0655 2.1017
Sm 3.4342 0.0000 0.0000
Sm 2.6464 4.5837 0.0000
Sm 6.3420 0.0000 2.1017
Tl 0.0000 5.0386 2.1017
Tl 4.3635 2.5193 2.1017
Sb 0.0000 0.0000 0.0000

***

Entry 2:
4
Lattice="0.0000 3.2150 3.2150 3.2150 0.0000 3.2150 3.2150 3.2150 0.0000" Properties=species:S:1:pos:R:3 comment="KFe2Ir | the Alexandria database | GGA-PBE | optimized geometry" e_tot_ev_per_atom=-5.50 m_tot_mub_per_cell=6.29 ef_mev_per_atom=1221 e_above_lowest_polymorph_mev_per_atom=692 pbc="T T T"
K 0.0000 0.0000 0.0000
Fe 3.2150 3.2150 3.2150
Fe 4.8226 4.8226 4.8226
Ir 1.6075 1.6075 1.6075

***

Entry 3:
4
Lattice="3.4418 0.0000 0.0000 0.0000 3.4418 0.0000 0.0000 0.0000 7.5688" Properties=species:S:1:pos:R:3 comment="Lu2InCu | the Alexandria database | GGA-PBE | optimized geometry" e_tot_ev_per_atom=-4.33 m_tot_mub_per_cell=0.00 ef_mev_per_atom=-365 pbc="T T T"
Lu 0.0000 0.0000 1.6680
Lu 0.0000 0.0000 5.9008
In 1.7209 1.7209 3.7844
Cu 1.7209 1.7209 0.0000

***

Entry 4:
4
Lattice="1.6086 -2.1189 0.0000 1.6086 2.1189 0.0000 0.0000 0.0000 9.1466" Properties=species:S:1:pos:R:3 comment="Mg2CrRe | the Alexandria database | GGA-PBE | optimized geometry" e_tot_ev_per_atom=-5.86 m_tot_mub_per_cell=0.00 ef_mev_per_atom=458 e_above_lowest_polymorph_mev_per_atom=301 pbc="T T T"
Mg 0.0000 0.0000 2.2456
Mg 0.0000 0.0000 6.9011
Cr 1.6086 0.0000 0.0000
Re 1.6086 0.0000 4.5733

***

Entry 5:
4
Lattice="-2.1078 2.1078 3.5201 2.1078 -2.1078 3.5201 2.1078 2.1078 -3.5201" Properties=species:S:1:pos:R:3 comment="Re2PtCl | the Alexandria database | GGA-PBE | optimized geometry" e_tot_ev_per_atom=-7.18 m_tot_mub_per_cell=0.00 e_above_lowest_polymorph_mev_per_atom=778 e_form_raw_mev_per_atom=1013 pbc="T T T"
Re 0.0000 0.0000 0.0000
Re 0.0000 2.1078 1.7601
Pt 0.0000 0.0000 3.5201
Cl 2.1078 0.0000 1.7601

***

Entry 6:
10
Lattice="-3.0242 3.0242 4.3128 3.0242 -3.0242 4.3128 3.0242 3.0242 -4.3128" Properties=species:S:1:pos:R:3 comment="Ba2GdTaO6 | the Alexandria database | GGA-PBE | optimized geometry" e_tot_ev_per_atom=-9.08 m_tot_mub_per_cell=6.95 e_form_raw_mev_per_atom=-3125 pbc="T T T"
Ba 3.0242 0.0000 2.1564
Ba 0.0000 3.0242 2.1564
Gd 0.0000 0.0000 0.0000
Ta 0.0000 0.0000 4.3128
O 1.8120 1.4117 0.0000
O 0.0000 0.0000 2.2939
O 1.6125 -1.2121 4.3128
O 1.4117 4.2363 0.0000
O 0.0000 0.0000 6.3316
O 1.2121 1.6125 4.3128